i | The following is a DFT calculation (GGA-PBE) of a relaxed structure of LaErPt.

Unit cell a=4.9772 b=4.9772 c=4.9772 alpha=60.00 beta=60.00 gamma=60.00
Last column: nearest neighbours and their distance in Å.
Positions (direct):
La 0.0000 0.0000 0.0000  4 Pt 3.05
Er 0.5000 0.5000 0.5000  4 Pt 3.05
Pt 0.2500 0.2500 0.2500  4 La 3.05, 4 Er 3.05

The symmetry is F-43m, No. 216. For the density of states at the Fermi level, the calculation gives 2.40 states/eV per cell. Its volume is 87.2 Å³/f.u.

***

ii | The following is a DFT calculation (GGA-PBE) of a relaxed structure of LaErPt.

Unit cell a=7.0523 b=7.1679 c=13.4009 alpha=90.00 beta=90.00 gamma=90.00
Last column: nearest neighbours and their distance in Å.
Positions (direct):
Er 0.0015 0.7540 0.9691  4 Pt 2.85-2.90
La 0.2671 0.0983 0.8050  2 Pt 2.90-2.96
La 0.2671 0.5983 0.6950  2 Pt 2.90-2.96
La 0.7329 0.9017 0.1950  2 Pt 2.90-2.96
Pt 0.7417 0.5407 0.5975  4 Er 2.85-2.90, 2 La 2.90-2.96
Er 0.4985 0.2540 0.0309  4 Pt 2.85-2.90
Er 0.9985 0.2460 0.0309  4 Pt 2.85-2.90
La 0.7329 0.4017 0.3050  2 Pt 2.90-2.96
Pt 0.2417 0.9593 0.5975  4 Er 2.85-2.90, 2 La 2.90-2.96
Pt 0.7417 0.0407 0.9025  4 Er 2.85-2.90, 2 La 2.90-2.96
La 0.2329 0.5983 0.1950  2 Pt 2.90-2.96
Er 0.5015 0.2460 0.5309  4 Pt 2.85-2.90
La 0.7671 0.9017 0.6950  2 Pt 2.90-2.96
Pt 0.7583 0.5407 0.0975  4 Er 2.85-2.90, 2 La 2.90-2.96
La 0.2329 0.0983 0.3050  2 Pt 2.90-2.96
Er 0.9985 0.7460 0.4691  4 Pt 2.85-2.90
Pt 0.2417 0.4593 0.9025  4 Er 2.85-2.90, 2 La 2.90-2.96
Er 0.0015 0.2540 0.5309  4 Pt 2.85-2.90
Er 0.5015 0.7460 0.9691  4 Pt 2.85-2.90
Pt 0.2583 0.9593 0.0975  4 Er 2.85-2.90, 2 La 2.90-2.96
Er 0.4985 0.7540 0.4691  4 Pt 2.85-2.90
Pt 0.7583 0.0407 0.4025  4 Er 2.85-2.90, 2 La 2.90-2.96
La 0.7671 0.4017 0.8050  2 Pt 2.90-2.96
Pt 0.2583 0.4593 0.4025  4 Er 2.85-2.90, 2 La 2.90-2.96

The symmetry is Pbca, No. 61. For the density of states at the Fermi level, the calculation gives 26.21 states/eV per cell. Its volume is 84.7 Å³/f.u.

***

It is i that is the least stable of them.

***

i | The following is a DFT calculation (GGA-PBE) of a relaxed structure of LaErPu2.

Unit cell a=3.4482 b=3.4482 c=10.0272 alpha=90.00 beta=90.00 gamma=90.00
Last column: nearest neighbours and their distance in Å.
Positions (direct):
Pu 0.0000 0.0000 0.7444  4 Pu 3.45, 4 Er 3.46, 4 La 3.54
La 0.5000 0.5000 0.0000  4 La 3.45, 8 Pu 3.54
Er 0.5000 0.5000 0.5000  4 Er 3.45, 8 Pu 3.46
Pu 0.0000 0.0000 0.2556  4 Pu 3.45, 4 Er 3.46, 4 La 3.54

The symmetry is P4/mmm, No. 123. For the density of states at the Fermi level, the calculation gives 13.47 states/eV per cell. Its volume is 119.2 Å³/f.u.

***

ii | The following is a DFT calculation (GGA-PBE) of a relaxed structure of LaErPu2.

Unit cell a=4.9659 b=4.9007 c=4.9007 alpha=90.00 beta=90.00 gamma=90.00
Last column: nearest neighbours and their distance in Å.
Positions (direct):
Er 0.5000 0.0000 0.0000  4 La 3.47, 8 Pu 3.49
Pu 0.0000 0.0000 0.5000  4 Pu 3.47, 4 La 3.49, 4 Er 3.49
La 0.5000 0.5000 0.5000  4 Er 3.47, 8 Pu 3.49
Pu 0.0000 0.5000 0.0000  4 Pu 3.47, 4 Er 3.49, 4 La 3.49

The symmetry is P4/mmm, No. 123. For the density of states at the Fermi level, the calculation gives 15.38 states/eV per cell. Its volume is 119.3 Å³/f.u.

***

It is ii that is the least stable of them.

***

i | The following is a DFT calculation (GGA-PBE) of a relaxed structure of LaEr2Pu.

Unit cell a=5.6475 b=5.6475 c=5.6475 alpha=60.00 beta=60.00 gamma=60.00
Last column: nearest neighbours and their distance in Å.
Positions (direct):
Er 0.2500 0.2500 0.2500  4 La 3.46, 4 Pu 3.46
La 0.5000 0.5000 0.5000  8 Er 3.46
Pu 0.0000 0.0000 0.0000  8 Er 3.46
Er 0.7500 0.7500 0.7500  4 La 3.46, 4 Pu 3.46

The symmetry is Fm-3m, No. 225. For the density of states at the Fermi level, the calculation gives 12.44 states/eV per cell. Its volume is 127.4 Å³/f.u.

***

ii | The following is a DFT calculation (GGA-PBE) of a relaxed structure of LaEr2Pu.

Unit cell a=3.5359 b=3.5359 c=10.0107 alpha=90.00 beta=90.00 gamma=90.00
Last column: nearest neighbours and their distance in Å.
Positions (direct):
Er 0.0000 0.0000 0.2355  4 Pu 3.44, 4 Er 3.54, 4 La 3.64
Er 0.0000 0.0000 0.7645  4 Pu 3.44, 4 Er 3.54, 4 La 3.64
La 0.5000 0.5000 0.5000  4 La 3.54, 8 Er 3.64
Pu 0.5000 0.5000 0.0000  8 Er 3.44, 4 Pu 3.54

The symmetry is P4/mmm, No. 123. For the density of states at the Fermi level, the calculation gives 11.00 states/eV per cell. Its volume is 125.2 Å³/f.u.

***

It is i that is the least stable of them.

***

i | The following is a DFT calculation (GGA-PBE) of a relaxed structure of La2ErRu.

Unit cell a=6.3511 b=7.3745 c=9.8934 alpha=90.00 beta=90.00 gamma=90.00
Last column: nearest neighbours and their distance in Å.
Positions (direct):
Ru 0.4460 0.8844 0.2500  2 Er 2.81-2.83, 4 La 2.90-2.95
Ru 0.9460 0.6156 0.7500  2 Er 2.81-2.83, 4 La 2.90-2.95
Er 0.8474 0.0447 0.2500  2 Ru 2.81-2.83
La 0.8290 0.3250 0.5674  2 Ru 2.90-2.95
Ru 0.0540 0.3844 0.2500  2 Er 2.81-2.83, 4 La 2.90-2.95
Ru 0.5540 0.1156 0.7500  2 Er 2.81-2.83, 4 La 2.90-2.95
Er 0.1526 0.9553 0.7500  2 Ru 2.81-2.83
Er 0.3474 0.4553 0.7500  2 Ru 2.81-2.83
La 0.3290 0.1750 0.0674  2 Ru 2.90-2.95
La 0.8290 0.3250 0.9326  2 Ru 2.90-2.95
Er 0.6526 0.5447 0.2500  2 Ru 2.81-2.83
La 0.6710 0.8250 0.5674  2 Ru 2.90-2.95
La 0.3290 0.1750 0.4326  2 Ru 2.90-2.95
La 0.1710 0.6750 0.4326  2 Ru 2.90-2.95
La 0.6710 0.8250 0.9326  2 Ru 2.90-2.95
La 0.1710 0.6750 0.0674  2 Ru 2.90-2.95

The symmetry is Pnma, No. 62. For the density of states at the Fermi level, the calculation gives 16.34 states/eV per cell. Its volume is 115.8 Å³/f.u.

***

ii | The following is a DFT calculation (GGA-PBE) of a relaxed structure of La2ErRu.

Unit cell a=3.8033 b=3.8033 c=10.6631 alpha=79.73 beta=79.73 gamma=60.00
Last column: nearest neighbours and their distance in Å.
Positions (direct):
La 0.1110 0.1110 0.6671  3 Ru 2.80
Ru 0.5000 0.5000 0.5000  6 La 2.80
Er 0.0000 0.0000 0.0000  2 La 3.47, 6 Er 3.80
La 0.8890 0.8890 0.3329  3 Ru 2.80

The symmetry is R-3m, No. 166. For the density of states at the Fermi level, the calculation gives 5.10 states/eV per cell. Its volume is 130.7 Å³/f.u.

***

It is ii that is the least stable of them.

***

i | The following is a DFT calculation (GGA-PBE) of a relaxed structure of La4ErSb5.

Unit cell a=6.4790 b=7.9216 c=7.9216 alpha=80.37 beta=65.86 gamma=65.86
Last column: nearest neighbours and their distance in Å.
Positions (direct):
Sb 0.2927 0.8063 0.6104  1 Er 3.15, 5 La 3.24-3.29
La 0.8012 0.7969 0.6028  6 Sb 3.22-3.29
Er 0.0011 0.0000 0.0000  6 Sb 3.15-3.24
La 0.5980 0.6028 0.2031  6 Sb 3.22-3.29
La 0.2009 0.2031 0.3972  6 Sb 3.22-3.29
Sb 0.7094 0.1937 0.3896  1 Er 3.15, 5 La 3.24-3.29
La 0.4040 0.3972 0.7969  6 Sb 3.22-3.29
Sb 0.5010 0.0000 0.0000  4 La 3.22, 2 Er 3.24
Sb 0.9031 0.3896 0.8063  1 Er 3.15, 5 La 3.24-3.29
Sb 0.0990 0.6104 0.1937  1 Er 3.15, 5 La 3.24-3.29

The symmetry is I4/m, No. 87. For the density of states at the Fermi level, the calculation gives 0.67 states/eV per cell. Its volume is 338.6 Å³/f.u.

***

ii | The following is a DFT calculation (GGA-PBE) of a relaxed structure of La4ErSb5.

Unit cell a=4.5818 b=4.5818 c=16.4705 alpha=98.00 beta=98.00 gamma=90.00
Last column: nearest neighbours and their distance in Å.
Positions (direct):
La 0.4014 0.4014 0.8027  6 Sb 3.19-3.27
Sb 0.9034 0.9034 0.8067  1 Er 3.12, 5 La 3.24-3.30
Sb 0.0966 0.0966 0.1933  1 Er 3.12, 5 La 3.24-3.30
Sb 0.3002 0.3002 0.6004  6 La 3.24-3.28
La 0.1988 0.1988 0.3975  6 Sb 3.24-3.30
Sb 0.6998 0.6998 0.3996  6 La 3.24-3.28
Er 0.0000 0.0000 0.0000  6 Sb 3.12-3.24
La 0.8012 0.8012 0.6025  6 Sb 3.24-3.30
La 0.5986 0.5986 0.1973  6 Sb 3.19-3.27
Sb 0.5000 0.5000 0.0000  2 La 3.19, 4 Er 3.24

The symmetry is I4/mmm, No. 139. For the density of states at the Fermi level, the calculation gives 1.41 states/eV per cell. Its volume is 339.0 Å³/f.u.

***

It is ii that is the least stable of them.

***

i | The following is a DFT calculation (GGA-PBE) of a relaxed structure of LaEr3Sc6.

Unit cell a=9.2696 b=9.2696 c=6.5403 alpha=44.87 beta=44.87 gamma=60.00
Last column: nearest neighbours and their distance in Å.
Positions (direct):
Er 0.6494 0.6494 0.0518  1 Er 2.82, 1 La 2.82
Sc 0.7276 0.0728 0.7994  3 Er 3.03-3.26
Sc 0.2372 0.9004 0.2993  1 La 3.12, 2 Er 3.21
Er 0.3997 0.3997 0.8008  2 Er 2.82, 3 Sc 3.03
Sc 0.0728 0.4003 0.7994  3 Er 3.03-3.26
La 0.8997 0.8997 0.3009  2 Er 2.82, 3 Sc 3.12
Er 0.1499 0.1499 0.5504  1 Er 2.82, 1 La 2.82
Sc 0.4003 0.7276 0.7994  3 Er 3.03-3.26
Sc 0.9004 0.5631 0.2993  1 La 3.12, 2 Er 3.21
Sc 0.5631 0.2372 0.2993  1 La 3.12, 2 Er 3.21

The symmetry is R3, No. 146. For the density of states at the Fermi level, the calculation gives 22.55 states/eV per cell. Its volume is 279.8 Å³/f.u.

***

ii | The following is a DFT calculation (GGA-PBE) of a relaxed structure of LaEr3Sc6.

Unit cell a=6.5845 b=9.2960 c=9.2960 alpha=96.19 beta=90.00 gamma=90.00
Last column: nearest neighbours and their distance in Å.
Positions (direct):
Er 0.2020 0.4103 0.5897  7 Sc 3.20-3.56, 1 La 3.26
Sc 0.0212 0.7970 0.2030  4 Sc 3.05-3.39, 2 La 3.20-3.40
Sc 0.3150 0.0481 0.4741  5 Sc 3.10-3.46, 1 Er 3.25
Sc 0.3150 0.5259 0.9519  5 Sc 3.10-3.46, 1 Er 3.25
Er 0.7020 0.5897 0.4103  7 Sc 3.20-3.56, 1 La 3.26
Sc 0.6813 0.4973 0.7315  4 Sc 2.84-3.16, 1 Er 3.11
Sc 0.1813 0.7315 0.4973  4 Sc 2.84-3.16, 1 Er 3.11
Er 0.4897 0.2567 0.1742  5 Sc 3.11-3.29, 2 Er 3.48
La 0.5359 0.8116 0.1884  4 Sc 3.05-3.40, 1 Er 3.26
La 0.0359 0.1884 0.8116  4 Sc 3.05-3.40, 1 Er 3.26
Er 0.4897 0.8258 0.7433  5 Sc 3.11-3.29, 2 Er 3.48
Er 0.9897 0.1742 0.2567  5 Sc 3.11-3.29, 2 Er 3.48
Sc 0.2544 0.9937 0.0063  2 La 3.05-3.13, 4 Sc 3.13-3.39, 4 Er 3.16-3.23
Sc 0.6813 0.2685 0.5027  4 Sc 2.84-3.16, 1 Er 3.11
Sc 0.8150 0.4741 0.0481  5 Sc 3.10-3.46, 1 Er 3.25
Er 0.9897 0.7433 0.8258  5 Sc 3.11-3.29, 2 Er 3.48
Sc 0.1813 0.5027 0.2685  4 Sc 2.84-3.16, 1 Er 3.11
Sc 0.7544 0.0063 0.9937  2 La 3.05-3.13, 4 Sc 3.13-3.39, 4 Er 3.16-3.23
Sc 0.8150 0.9519 0.5259  5 Sc 3.10-3.46, 1 Er 3.25
Sc 0.5212 0.2030 0.7970  4 Sc 3.05-3.39, 2 La 3.20-3.40

The symmetry is Cmc2_1, No. 36. For the density of states at the Fermi level, the calculation gives 34.94 states/eV per cell. Its volume is 282.8 Å³/f.u.

***

It is i that is the least stable of them.